Record 1
The following is a DFT calculation (PBE) of a relaxed structure of ScInF4.

a = 5.354 Å, b = 5.851 Å, c = 7.339 Å
α = 103.98°, β = 111.39°, γ = 90.00°
Fractional coordinates of all 12 atoms:
F (0.498, 0.937, 0.217)
F (0.719, 0.437, 0.217)
Sc (0.000, 0.500, 0.500)
Sc (0.500, 0.000, 0.500)
F (0.281, 0.563, 0.783)
F (0.766, 0.295, 0.581)
F (0.502, 0.063, 0.783)
F (0.815, 0.795, 0.581)
In (0.253, 0.250, 0.000)
In (0.747, 0.750, 0.000)
F (0.185, 0.205, 0.419)
F (0.234, 0.705, 0.419)

Computed properties:
energy relative to the elements, uncorrected	-3.215	eV per atom
D(E_F)	0.00	states/eV/cell

Record 2
The following is a DFT calculation (PBE) of a relaxed structure of ScIn3F6.

a = 5.997 Å, b = 5.997 Å, c = 6.874 Å
α = 111.83°, β = 111.83°, γ = 98.49°
Fractional coordinates of all 10 atoms:
In (0.250, 0.750, 0.500)
F (0.223, 0.777, 0.000)
In (0.750, 0.250, 0.500)
Sc (0.000, 0.000, 0.000)
F (0.059, 0.059, 0.745)
In (0.500, 0.500, 0.000)
F (0.686, 0.686, 0.745)
F (0.777, 0.223, 0.000)
F (0.314, 0.314, 0.255)
F (0.941, 0.941, 0.255)

Computed properties:
energy relative to the elements, uncorrected	-2.539	eV per atom
D(E_F)	0.00	states/eV/cell

Record 3
The following is a DFT calculation (PBE) of a relaxed structure of ScIn2F5.

a = 6.129 Å, b = 7.862 Å, c = 8.186 Å
α = 120.26°, β = 90.00°, γ = 112.94°
Fractional coordinates of all 16 atoms:
F (0.062, 0.000, 0.250)
In (0.671, 0.359, 0.341)
F (0.364, 0.161, 0.039)
In (0.312, 0.641, 0.159)
F (0.306, 0.296, 0.664)
In (0.329, 0.641, 0.659)
Sc (0.000, 0.000, 0.000)
F (0.938, 0.000, 0.750)
F (0.694, 0.704, 0.336)
F (0.990, 0.296, 0.164)
F (0.010, 0.704, 0.836)
F (0.636, 0.839, 0.961)
F (0.797, 0.161, 0.539)
F (0.203, 0.839, 0.461)
Sc (0.000, 0.000, 0.500)
In (0.688, 0.359, 0.841)

Computed properties:
energy relative to the elements, uncorrected	-2.819	eV per atom
D(E_F)	0.00	states/eV/cell

Record 4
The following is a DFT calculation (PBE) of a relaxed structure of Sc2InF2.

a = 3.517 Å, b = 3.517 Å, c = 7.028 Å
α = 75.51°, β = 75.51°, γ = 90.00°
Fractional coordinates of all 5 atoms:
Sc (0.358, 0.358, 0.283)
F (0.250, 0.750, 0.500)
In (0.000, 0.000, 0.000)
F (0.750, 0.250, 0.500)
Sc (0.642, 0.642, 0.717)

Computed properties:
energy relative to the elements, uncorrected	-2.209	eV per atom
D(E_F)	2.17	states/eV/cell

Record 5
The following is a DFT calculation (PBE) of a relaxed structure of ScIn2F8.

a = 4.599 Å, b = 6.000 Å, c = 6.000 Å
α = 73.95°, β = 103.34°, γ = 103.34°
Fractional coordinates of all 11 atoms:
F (0.257, 0.334, 0.941)
F (0.208, 0.412, 0.412)
In (0.646, 0.342, 0.342)
F (0.256, 0.864, 0.864)
F (0.743, 0.666, 0.059)
F (0.792, 0.588, 0.588)
F (0.744, 0.136, 0.136)
F (0.743, 0.059, 0.666)
Sc (0.000, 0.000, 0.000)
In (0.354, 0.658, 0.658)
F (0.257, 0.941, 0.334)

Computed properties:
energy relative to the elements, uncorrected	-2.855	eV per atom
D(E_F)	1.45	states/eV/cell

Record 6
The following is a DFT calculation (PBE) of a relaxed structure of ScIn2F11.

a = 7.977 Å, b = 8.219 Å, c = 8.219 Å
α = 74.04°, β = 60.97°, γ = 60.97°
Fractional coordinates of all 28 atoms:
In (0.336, 0.307, 0.693)
F (0.428, 0.788, 0.936)
In (0.836, 0.193, 0.807)
F (0.607, 0.308, 0.692)
F (0.653, 0.712, 0.564)
F (0.257, 0.312, 0.979)
F (0.743, 0.688, 0.021)
F (0.243, 0.521, 0.188)
In (0.164, 0.807, 0.193)
F (0.107, 0.192, 0.808)
F (0.393, 0.692, 0.308)
F (0.453, 0.979, 0.312)
F (0.893, 0.808, 0.192)
Sc (0.750, 0.750, 0.750)
F (0.953, 0.812, 0.479)
F (0.500, 0.500, 0.500)
F (0.547, 0.021, 0.688)
F (0.072, 0.564, 0.712)
In (0.664, 0.693, 0.307)
F (0.047, 0.188, 0.521)
F (0.572, 0.212, 0.064)
F (0.347, 0.288, 0.436)
F (0.000, 0.000, 0.000)
F (0.928, 0.436, 0.288)
F (0.153, 0.064, 0.212)
Sc (0.250, 0.250, 0.250)
F (0.847, 0.936, 0.788)
F (0.757, 0.479, 0.812)

Computed properties:
energy relative to the elements, uncorrected	-2.418	eV per atom
D(E_F)	18.32	states/eV/cell

Record 7
The following is a DFT calculation (PBE) of a relaxed structure of ScInF3.

a = 4.324 Å, b = 4.324 Å, c = 4.324 Å
α = 90.00°, β = 90.00°, γ = 90.00°
Fractional coordinates of all 5 atoms:
F (0.000, 0.500, 0.000)
F (0.000, 0.000, 0.500)
In (0.500, 0.500, 0.500)
Sc (0.000, 0.000, 0.000)
F (0.500, 0.000, 0.000)

Computed properties:
energy relative to the elements, uncorrected	-2.679	eV per atom
D(E_F)	4.72	states/eV/cell

Record 8
The following is a DFT calculation (PBE) of a relaxed structure of ScInF3.

a = 4.528 Å, b = 4.528 Å, c = 4.528 Å
α = 90.00°, β = 90.00°, γ = 90.00°
Fractional coordinates of all 5 atoms:
F (0.000, 0.500, 0.000)
F (0.500, 0.000, 0.000)
Sc (0.500, 0.500, 0.500)
In (0.000, 0.000, 0.000)
F (0.000, 0.000, 0.500)

Computed properties:
energy relative to the elements, uncorrected	-1.628	eV per atom
D(E_F)	4.69	states/eV/cell

Which value of D(E_F) does entry 6 give?
18.32 states/eV/cell

Please write out number 7 again, unchanged.
The following is a DFT calculation (PBE) of a relaxed structure of ScInF3.

a = 4.324 Å, b = 4.324 Å, c = 4.324 Å
α = 90.00°, β = 90.00°, γ = 90.00°
Fractional coordinates of all 5 atoms:
F (0.000, 0.500, 0.000)
F (0.000, 0.000, 0.500)
In (0.500, 0.500, 0.500)
Sc (0.000, 0.000, 0.000)
F (0.500, 0.000, 0.000)

Computed properties:
energy relative to the elements, uncorrected	-2.679	eV per atom
D(E_F)	4.72	states/eV/cell